Crystalline CaCuTe2N at its relaxed geometry, computed with PBE.

```
5
Lattice="-2.061 -3.467 4.358 5.232 0.386 2.782 -1.285 3.239 1.969" Properties=species:S:1:pos:R:3 pbc="T T T"
Ca 0.000 0.000 0.000
Te 2.616 0.193 1.391
Te -1.031 -1.734 2.179
Cu 0.943 0.079 4.554
N -0.643 1.620 0.984
```

Computed properties:
The calculation puts the uncorrected formation energy at 1.052 eV/atom. As for the crystal system: tetragonal. The energy above the lowest structure with this stoichiometry comes out at 4.80 eV/f.u. The calculation puts the volume at 141 Å³ per cell. Its total moment is 0.00 μB per formula unit. The space group is No. 123. For the density of states at the Fermi level, the calculation gives 5.17 states/eV/f.u.